FeTc2Se: optimized geometry, PBE.

Cell lengths 3.0232, 3.0232, 6.1640 Å; angles 90.00, 90.00, 90.00 degrees
Each line ends with the local moment (μB).
Sites, in units of the cell vectors:
1 Fe 0.5000 0.5000 0.2500  2.28
2 Se 0.5000 0.5000 0.7500  0.01
3 Tc 0.0000 0.0000 0.0118  -0.04
4 Tc 0.0000 0.0000 0.4882  -0.04

theoretical density: 9.75 g/cm3
M_tot: 2.2 μB per formula unit
DOS(E_F): 0.653 states/eV per atom
uncorrected formation energy: 15.5 kJ per mole of atoms

=====

Fe2TcSe: optimized geometry, PBE.

Cell lengths 4.5237, 4.5237, 4.5237 Å; angles 131.77, 131.77, 70.60 degrees
Each line ends with the local moment (μB).
Sites, in units of the cell vectors:
1 Fe 0.0000 0.0000 0.0000  0.27
2 Fe 0.5000 0.5000 0.0000  0.27
3 Se 0.2500 0.7500 0.5000  -0.01
4 Tc 0.7500 0.2500 0.5000  -0.10

theoretical density: 9.50 g/cm3
M_tot: 0.4 μB per formula unit
DOS(E_F): 1.263 states/eV per atom
uncorrected formation energy: 45.1 kJ per mole of atoms

=====

FeTc2Se: optimized geometry, PBE.

Cell lengths 3.8344, 2.8733, 5.4395 Å; angles 74.65, 90.00, 90.00 degrees
Each line ends with the local moment (μB).
Sites, in units of the cell vectors:
1 Fe 0.0000 0.5503 0.5248  2.04
2 Se 0.5000 0.9597 0.7053  -0.04
3 Tc 0.0000 0.8022 0.0199  -0.11
4 Tc 0.5000 0.1878 0.2500  -0.09

theoretical density: 9.51 g/cm3
M_tot: 1.7 μB per formula unit
DOS(E_F): 1.099 states/eV per atom
uncorrected formation energy: 23.6 kJ per mole of atoms

=====

Number 2 is which compound? Fe2TcSe

=====

The highest theoretical density belongs to which entry? number 1

=====

Please write out number 1 again, unchanged.
FeTc2Se: optimized geometry, PBE.

Cell lengths 3.0232, 3.0232, 6.1640 Å; angles 90.00, 90.00, 90.00 degrees
Each line ends with the local moment (μB).
Sites, in units of the cell vectors:
1 Fe 0.5000 0.5000 0.2500  2.28
2 Se 0.5000 0.5000 0.7500  0.01
3 Tc 0.0000 0.0000 0.0118  -0.04
4 Tc 0.0000 0.0000 0.4882  -0.04

theoretical density: 9.75 g/cm3
M_tot: 2.2 μB per formula unit
DOS(E_F): 0.653 states/eV per atom
uncorrected formation energy: 15.5 kJ per mole of atoms